# 1
# Zn2GaBi

Crystalline Zn2GaBi at its relaxed geometry (GGA-PBE, Alexandria).

Geometry as extended XYZ:
```
4
Lattice="2.1666 1.2509 5.2746 -2.1666 1.2509 5.2746 0.0000 -2.5018 5.2746" Properties=species:S:1:pos:R:3 pbc="T T T"
Zn 0.0000 0.0000 3.5878
Zn 0.0000 0.0000 12.2360
Ga 0.0000 0.0000 7.9119
Bi 0.0000 0.0000 0.0000
```

Computed properties:
M_tot	0.00	μB/cell
formation enthalpy at 0 K	48	kJ/mol of formula units
calculated density	7.928	g/cm3
SG	R-3m (166)
polymorph energy (0 for the lowest one)	0	meV/atom

***

# 2
# TbPm2NdEr

Crystalline TbPm2NdEr at its relaxed geometry (GGA-PBE, Alexandria).

Geometry as extended XYZ:
```
10
Lattice="4.2182 -5.8253 0.0000 4.2182 5.8253 0.0000 0.0000 0.0000 7.2529" Properties=species:S:1:pos:R:3 pbc="T T T"
Tb 4.2182 5.7115 5.4396
Tb 4.2182 -5.7115 1.8132
Pm 2.6063 0.0000 0.0000
Pm 2.6063 0.0000 3.6264
Pm 5.8301 0.0000 0.0000
Pm 5.8301 0.0000 3.6264
Nd 4.2182 2.6238 5.4396
Nd 4.2182 -2.6238 1.8132
Er 4.2182 2.6973 1.8132
Er 4.2182 -2.6973 5.4396
```

Computed properties:
M_tot	0.00	μB/cell
formation enthalpy at 0 K	191	kJ/mol of formula units
calculated density	7.085	g/cm3
SG	Cmcm (63)

***

# 3
# NaSr4Cd2

Crystalline NaSr4Cd2 at its relaxed geometry (GGA-PBE, Alexandria).

Geometry as extended XYZ:
```
7
Lattice="2.8555 1.6486 10.7858 -2.8555 1.6486 10.7858 0.0000 -3.2972 10.7858" Properties=species:S:1:pos:R:3 pbc="T T T"
Na 0.0000 0.0000 0.0000
Sr 0.0000 0.0000 6.6002
Sr 0.0000 0.0000 12.5194
Sr 0.0000 0.0000 19.8380
Sr 0.0000 0.0000 25.7573
Cd 0.0000 0.0000 3.0852
Cd 0.0000 0.0000 29.2722
```

Computed properties:
M_tot	0.00	μB/cell
formation enthalpy at 0 K	-48	kJ/mol of formula units
calculated density	3.261	g/cm3
SG	R-3m (166)
polymorph energy (0 for the lowest one)	59	meV/atom